{
  "formula": "InRhF2",
  "functional": "GGA-PBE",
  "state": "relaxed",
  "cell": [[3.4645, -2.1127, -1.5337], [0.4174, -4.2638, 0.6813], [-0.4401, -2.7776, -3.3029]],
  "species": ["F", "Rh", "F", "In"],
  "fractional_positions": [[0.2500, 0.2500, 0.2500], [0.0000, 0.0000, 0.0000], [0.7500, 0.7500, 0.7500], [0.5000, 0.5000, 0.5000]],
  "dos_ef_per_ev_cell": 5.845,
  "density_g_cm3": 7.36,
  "space_group": "Fm-3m, No. 225",
  "final_energy_ev_per_atom": -4.196,
  "e_form_raw_mev_per_atom": -737.5,
  "m_tot_mub_per_atom": 0.374
}